Entry 1:
Here is an optimized crystal structure of Tb6Nd8Sc from Alexandria. Energies are from PBE.

Summary:
Energy relative to the lowest polymorph listed for this composition: 0.000 eV/atom
DOS(E_F): 22.93 states/eV/f.u.
Formation enthalpy at 0 K: 0.12 eV/atom

Cell lengths 8.728, 8.728, 8.728 Å; angles 63.29, 63.29, 63.29 degrees
Sites, in units of the cell vectors:
Tb1 0.043 0.742 0.598
Tb2 0.258 0.402 0.957
Tb3 0.402 0.957 0.258
Tb4 0.598 0.043 0.742
Tb5 0.742 0.598 0.043
Tb6 0.957 0.258 0.402
Nd1 0.078 0.078 0.078
Nd2 0.218 0.254 0.612
Nd3 0.254 0.612 0.218
Nd4 0.388 0.782 0.746
Nd5 0.612 0.218 0.254
Nd6 0.746 0.388 0.782
Nd7 0.782 0.746 0.388
Nd8 0.922 0.922 0.922
Sc1 0.500 0.500 0.500

Entry 2:
Here is an optimized crystal structure of Tb3NdSc5 from Alexandria. Energies are from PBE.

Summary:
DOS(E_F): 9.82 states/eV/f.u.
Formation enthalpy at 0 K: 0.28 eV/atom

Cell lengths 9.326, 9.326, 9.326 Å; angles 127.04, 127.04, 78.18 degrees
Sites, in units of the cell vectors:
Tb1 0.120 0.620 0.741
Tb2 0.250 0.250 0.000
Tb3 0.380 0.120 0.500
Tb4 0.620 0.880 0.500
Tb5 0.750 0.750 0.000
Tb6 0.880 0.380 0.259
Nd1 0.250 0.750 0.500
Nd2 0.750 0.250 0.500
Sc1 0.000 0.000 0.000
Sc2 0.070 0.160 0.500
Sc3 0.160 0.660 0.090
Sc4 0.340 0.430 0.500
Sc5 0.430 0.930 0.090
Sc6 0.500 0.500 0.000
Sc7 0.570 0.070 0.910
Sc8 0.660 0.570 0.500
Sc9 0.840 0.340 0.910
Sc10 0.930 0.840 0.500

Entry 3:
Here is an optimized crystal structure of TbNd12Sc6 from Alexandria. Energies are from PBE.

Summary:
Energy relative to the lowest polymorph listed for this composition: 0.036 eV/atom
DOS(E_F): 28.56 states/eV/f.u.
Formation enthalpy at 0 K: 0.27 eV/atom

Cell lengths 9.056, 9.056, 9.056 Å; angles 106.72, 106.72, 106.72 degrees
Sites, in units of the cell vectors:
Tb1 0.000 0.000 0.000
Nd1 0.135 0.279 0.829
Nd2 0.171 0.865 0.721
Nd3 0.197 0.476 0.569
Nd4 0.279 0.829 0.135
Nd5 0.431 0.803 0.524
Nd6 0.476 0.569 0.197
Nd7 0.524 0.431 0.803
Nd8 0.569 0.197 0.476
Nd9 0.721 0.171 0.865
Nd10 0.803 0.524 0.431
Nd11 0.829 0.135 0.279
Nd12 0.865 0.721 0.171
Sc1 0.071 0.464 0.186
Sc2 0.186 0.071 0.464
Sc3 0.464 0.186 0.071
Sc4 0.536 0.814 0.929
Sc5 0.814 0.929 0.536
Sc6 0.929 0.536 0.814

Entry 4:
Here is an optimized crystal structure of Tb9NdSc2 from Alexandria. Energies are from PBE.

Summary:
DOS(E_F): 18.93 states/eV/f.u.
Formation enthalpy at 0 K: 0.04 eV/atom

Cell lengths 4.986, 4.986, 14.922 Å; angles 90.00, 90.00, 90.00 degrees
Sites, in units of the cell vectors:
Tb1 0.000 0.000 0.000
Tb2 0.000 0.000 0.338
Tb3 0.000 0.000 0.662
Tb4 0.000 0.500 0.173
Tb5 0.000 0.500 0.500
Tb6 0.000 0.500 0.827
Tb7 0.500 0.000 0.173
Tb8 0.500 0.000 0.500
Tb9 0.500 0.000 0.827
Nd1 0.500 0.500 0.000
Sc1 0.500 0.500 0.336
Sc2 0.500 0.500 0.664

Entry 5:
Here is an optimized crystal structure of Tb2Nd2Sc5 from Alexandria. Energies are from PBE.

Summary:
DOS(E_F): 13.06 states/eV/f.u.
Formation enthalpy at 0 K: 0.20 eV/atom

Cell lengths 8.940, 8.940, 8.940 Å; angles 97.57, 123.36, 108.56 degrees
Sites, in units of the cell vectors:
Tb1 0.125 0.104 0.230
Tb2 0.125 0.396 0.521
Tb3 0.875 0.604 0.479
Tb4 0.875 0.896 0.770
Nd1 0.575 0.075 0.500
Nd2 0.575 0.575 0.000
Nd3 0.584 0.436 0.649
Nd4 0.787 0.936 0.351
Sc1 0.018 0.419 0.804
Sc2 0.018 0.714 0.099
Sc3 0.242 0.181 0.810
Sc4 0.242 0.931 0.560
Sc5 0.279 0.828 0.951
Sc6 0.371 0.431 0.190
Sc7 0.371 0.681 0.440
Sc8 0.615 0.214 0.196
Sc9 0.615 0.919 0.901
Sc10 0.876 0.328 0.049

Entry 6:
Here is an optimized crystal structure of Tb4Nd2Sc from Alexandria. Energies are from PBE.

Summary:
Energy relative to the lowest polymorph listed for this composition: 0.000 eV/atom
DOS(E_F): 9.60 states/eV/f.u.
Formation enthalpy at 0 K: 0.19 eV/atom

Cell lengths 6.946, 6.946, 11.103 Å; angles 90.00, 90.00, 121.92 degrees
Sites, in units of the cell vectors:
Tb1 0.220 0.780 0.546
Tb2 0.220 0.780 0.954
Tb3 0.280 0.280 0.000
Tb4 0.280 0.280 0.500
Tb5 0.720 0.720 0.000
Tb6 0.720 0.720 0.500
Tb7 0.780 0.220 0.046
Tb8 0.780 0.220 0.454
Nd1 0.039 0.961 0.250
Nd2 0.326 0.674 0.250
Nd3 0.674 0.326 0.750
Nd4 0.961 0.039 0.750
Sc1 0.398 0.602 0.750
Sc2 0.602 0.398 0.250

Entry 7:
Here is an optimized crystal structure of TbNdSc from Alexandria. Energies are from PBE.

Summary:
Energy relative to the lowest polymorph listed for this composition: 0.047 eV/atom
DOS(E_F): 4.49 states/eV/f.u.
Formation enthalpy at 0 K: 0.08 eV/atom

Cell lengths 5.540, 5.540, 3.424 Å; angles 90.00, 90.00, 120.00 degrees
Sites, in units of the cell vectors:
Tb1 0.000 0.000 0.000
Nd1 0.667 0.333 0.499
Sc1 0.333 0.667 0.998

Entry 8:
Here is an optimized crystal structure of Tb12Nd3Sc from Alexandria. Energies are from PBE.

Summary:
DOS(E_F): 22.93 states/eV/f.u.
Formation enthalpy at 0 K: 0.03 eV/atom

Cell lengths 5.047, 5.047, 20.139 Å; angles 90.00, 90.00, 90.00 degrees
Sites, in units of the cell vectors:
Tb1 0.000 0.000 0.000
Tb2 0.000 0.000 0.246
Tb3 0.000 0.000 0.500
Tb4 0.000 0.000 0.754
Tb5 0.000 0.500 0.120
Tb6 0.000 0.500 0.373
Tb7 0.000 0.500 0.627
Tb8 0.000 0.500 0.880
Tb9 0.500 0.000 0.120
Tb10 0.500 0.000 0.373
Tb11 0.500 0.000 0.627
Tb12 0.500 0.000 0.880
Nd1 0.500 0.500 0.247
Nd2 0.500 0.500 0.500
Nd3 0.500 0.500 0.753
Sc1 0.500 0.500 0.000

Entry 9:
Here is an optimized crystal structure of Tb2Nd3Sc from Alexandria. Energies are from PBE.

Summary:
Energy relative to the lowest polymorph listed for this composition: 0.004 eV/atom
DOS(E_F): 8.86 states/eV/f.u.
Formation enthalpy at 0 K: 0.04 eV/atom

Cell lengths 8.431, 3.675, 12.640 Å; angles 90.00, 90.18, 90.00 degrees
Sites, in units of the cell vectors:
Tb1 0.076 0.250 0.389
Tb2 0.348 0.750 0.946
Tb3 0.652 0.250 0.054
Tb4 0.924 0.750 0.611
Nd1 0.078 0.250 0.112
Nd2 0.342 0.750 0.559
Nd3 0.396 0.750 0.248
Nd4 0.604 0.250 0.752
Nd5 0.658 0.250 0.441
Nd6 0.922 0.750 0.888
Sc1 0.193 0.250 0.752
Sc2 0.807 0.750 0.248

Entry 10:
Here is an optimized crystal structure of Tb8Nd4Sc from Alexandria. Energies are from PBE.

Summary:
DOS(E_F): 22.11 states/eV/f.u.
Formation enthalpy at 0 K: 0.52 eV/atom

Cell lengths 7.781, 7.781, 7.781 Å; angles 90.15, 90.15, 90.15 degrees
Sites, in units of the cell vectors:
Tb1 0.241 0.241 0.757
Tb2 0.241 0.757 0.241
Tb3 0.242 0.242 0.242
Tb4 0.243 0.759 0.759
Tb5 0.757 0.241 0.241
Tb6 0.758 0.758 0.758
Tb7 0.759 0.243 0.759
Tb8 0.759 0.759 0.243
Nd1 0.000 0.000 0.000
Nd2 0.000 0.500 0.500
Nd3 0.500 0.000 0.500
Nd4 0.500 0.500 0.000
Sc1 0.500 0.500 0.500

Entry 11:
Here is an optimized crystal structure of Tb3NdSc2 from Alexandria. Energies are from PBE.

Summary:
DOS(E_F): 10.51 states/eV/f.u.
Formation enthalpy at 0 K: 0.29 eV/atom

Cell lengths 8.668, 8.668, 5.473 Å; angles 90.00, 90.00, 68.49 degrees
Sites, in units of the cell vectors:
Tb1 0.095 0.905 0.750
Tb2 0.109 0.368 0.250
Tb3 0.368 0.109 0.750
Tb4 0.632 0.891 0.250
Tb5 0.891 0.632 0.750
Tb6 0.905 0.095 0.250
Nd1 0.268 0.732 0.250
Nd2 0.732 0.268 0.750
Sc1 0.302 0.485 0.750
Sc2 0.485 0.302 0.250
Sc3 0.515 0.698 0.750
Sc4 0.698 0.515 0.250

Entry 12:
Here is an optimized crystal structure of TbNdSc from Alexandria. Energies are from PBE.

Summary:
Energy relative to the lowest polymorph listed for this composition: 0.690 eV/atom
DOS(E_F): 5.05 states/eV/f.u.
Formation enthalpy at 0 K: 0.73 eV/atom

Cell lengths 8.060, 8.060, 3.355 Å; angles 90.00, 90.00, 93.60 degrees
Sites, in units of the cell vectors:
Tb1 0.000 0.000 0.000
Tb2 0.500 0.500 0.500
Nd1 0.240 0.760 0.500
Nd2 0.760 0.240 0.500
Sc1 0.262 0.262 0.000
Sc2 0.738 0.738 0.000